This record from the Alexandria database describes crystalline DyZr4Co2 at its relaxed geometry. The functional is GGA-PBE.

Unit cell a=6.7068 b=6.0276 c=7.4947 alpha=90.00 beta=107.96 gamma=90.00
Sites, in units of the cell vectors:
Dy: 0.1480 0.2500 0.0304
Dy: 0.8520 0.7500 0.9696
Zr: 0.0422 0.2500 0.4168
Zr: 0.2423 0.7500 0.3417
Zr: 0.3909 0.0016 0.7639
Zr: 0.3909 0.4984 0.7639
Zr: 0.6091 0.5016 0.2361
Zr: 0.6091 0.9984 0.2361
Zr: 0.7577 0.2500 0.6583
Zr: 0.9578 0.7500 0.5832
Co: 0.3013 0.7500 0.0141
Co: 0.4002 0.2500 0.4197
Co: 0.5998 0.7500 0.5803
Co: 0.6987 0.2500 0.9859

## Properties
The calculation puts the density of states at the Fermi level at 1.1827 states/eV/atom. For the formation energy, the calculation gives -0.115 eV per atom. The electronic total energy comes out at -53.809 eV/f.u. Its symmetry is No. 11. The volume comes out at 20.59 Å³/atom. The calculation puts the total magnetization at 0.00 Bohr magnetons per cell.

=====

This record from the Alexandria database describes crystalline TcPbCl2 at its relaxed geometry. The functional is GGA-PBE.

Unit cell a=6.1016 b=6.1016 c=6.1016 alpha=140.10 beta=140.10 gamma=57.70
Sites, in units of the cell vectors:
Tc: 0.0000 0.0000 0.0000
Pb: 0.7500 0.2500 0.5000
Cl: 0.2500 0.7500 0.5000
Cl: 0.5000 0.5000 0.0000

## Properties
The calculation puts the density of states at the Fermi level at 0.6803 states/eV/atom. As for the formation energy from raw total energies: 0.40 eV per atom. The electronic total energy comes out at -16.184 eV/f.u. Its symmetry is No. 119. The volume comes out at 23.16 Å³/atom. The calculation puts the total magnetization at 3.16 Bohr magnetons per cell.

=====

This record from the Alexandria database describes crystalline Ba3Tl2RhO6 at its relaxed geometry. The functional is GGA-PBE.

Unit cell a=6.0657 b=6.0657 c=7.0352 alpha=90.00 beta=90.00 gamma=120.00
Sites, in units of the cell vectors:
Ba: 0.0000 0.0000 0.0000
Ba: 0.3333 0.6667 0.6146
Ba: 0.6667 0.3333 0.3854
Tl: 0.3333 0.6667 0.1237
Tl: 0.6667 0.3333 0.8763
Rh: 0.0000 0.0000 0.5000
O: 0.1576 0.3152 0.3254
O: 0.1576 0.8424 0.3254
O: 0.3152 0.1576 0.6746
O: 0.6848 0.8424 0.3254
O: 0.8424 0.1576 0.6746
O: 0.8424 0.6848 0.6746

## Properties
The calculation puts the density of states at the Fermi level at 0.6719 states/eV/atom. As for the formation energy from raw total energies: -1.61 eV per atom. The electronic total energy comes out at -66.908 eV/f.u. Its symmetry is No. 164. The volume comes out at 18.68 Å³/atom. The calculation puts the total magnetization at 1.06 Bohr magnetons per cell.